NiSeBr2F | GGA+U | relaxed

extended XYZ file:
```
5
Lattice="-3.100 1.169 -3.457 3.088 -1.577 -3.302 -1.895 -4.256 0.260" Properties=species:S:1:pos:R:3 pbc="T T T"
Ni 0.000 0.000 0.000
F -0.953 -2.332 -3.250
Br 1.544 -0.788 -1.651
Br -1.550 0.584 -1.729
Se -0.947 -2.128 0.130
```

Values from the calculation:
V, Å³/f.u.: 106.97
ρ, g/cm³: 4.91
DOS(E_F), states/eV/cell: 7.9
E_tot, eV/atom: -1.8976
Offset from the most stable computed form, eV per atom: 0.000
Crystal system: tetragonal